<a>
An optimized crystal structure of NdY3Tl2. Source: the Alexandria database, functional PBE.

It has space group Pmc2_1 (No. 26), with a = 5.1526 Å, b = 10.0864 Å, c = 6.8654 Å, α = 90.00°, β = 90.00° and γ = 90.00°. The distinct sites, in fractional coordinates, are Nd at (0.0000, 0.0436, 0.0000), Y at (0.0000, 0.3168, 0.6209), Y at (0.5000, 0.1911, 0.2779), Y at (0.5000, 0.4546, 0.9059), Tl at (0.0000, 0.3684, 0.1602) and Tl at (0.5000, 0.1372, 0.7382).

As for the density: 7.6 g cm⁻³.

<b>
An optimized crystal structure of NdY3Tl2. Source: the Alexandria database, functional PBE.

It has space group C2/m (No. 12), with a = 16.5083 Å, b = 5.4427 Å, c = 9.3020 Å, α = 90.00°, β = 118.83° and γ = 90.00°. The distinct sites, in fractional coordinates, are Nd at (0.1307, 0.0000, 0.1746), Y at (0.0595, 0.0000, 0.7159), Y at (0.1170, 0.5000, 0.5397), Y at (0.1938, 0.5000, 0.9950), Tl at (0.0175, 0.5000, 0.1713) and Tl at (0.2220, 0.0000, 0.5954).

As for the density: 7.4 g cm⁻³.

Computed energies relative to the best structure, in meV per atom: <a> 0; <b> 104

<a>
An optimized crystal structure of NdY2Tl2. Source: the Alexandria database, functional PBE.

It has space group P2_1/m (No. 11), with a = 3.8248 Å, b = 5.4726 Å, c = 14.2384 Å, α = 90.00°, β = 97.73° and γ = 90.00°. The distinct sites, in fractional coordinates, are Nd at (0.1465, 0.2500, 0.2951), Y at (0.0502, 0.7500, 0.0999), Y at (0.2367, 0.7500, 0.4738), Tl at (0.3552, 0.2500, 0.7101) and Tl at (0.4535, 0.7500, 0.9078).

As for the density: 8.2 g cm⁻³.

<b>
An optimized crystal structure of NdY2Tl2. Source: the Alexandria database, functional PBE.

It has space group P2_1/m (No. 11), with a = 5.8367 Å, b = 3.8430 Å, c = 13.9182 Å, α = 90.00°, β = 95.95° and γ = 90.00°. The distinct sites, in fractional coordinates, are Nd at (0.1958, 0.2500, 0.2512), Y at (0.2426, 0.7500, 0.4698), Y at (0.3186, 0.2500, 0.8867), Tl at (0.1818, 0.7500, 0.0543) and Tl at (0.2870, 0.2500, 0.6614).

As for the density: 7.8 g cm⁻³.

Computed energies relative to the best structure, in meV per atom: <a> 0; <b> 126

<a>
An optimized crystal structure of Nd4YTl2. Source: the Alexandria database, functional PBE.

It has space group P-1 (No. 2), with a = 6.2758 Å, b = 6.3613 Å, c = 6.3862 Å, α = 115.10°, β = 93.66° and γ = 93.92°. The distinct sites, in fractional coordinates, are Nd at (0.0000, 0.0000, 0.0000), Nd at (0.0000, 0.5000, 0.5000), Nd at (0.5002, 0.2089, 0.2890), Y at (0.0000, 0.0000, 0.5000) and Tl at (0.2661, 0.5765, 0.0767).

As for the density: 7.8 g cm⁻³.

<b>
An optimized crystal structure of Nd4YTl2. Source: the Alexandria database, functional PBE.

It has space group R-3m (No. 166, hexagonal axes), with a = 5.6253 Å, b = 5.6253 Å, c = 27.0322 Å, α = 90.00°, β = 90.00° and γ = 120.00°. The distinct sites, in fractional coordinates, are Nd at (0.0000, 0.0000, 0.1303), Nd at (0.0000, 0.0000, 0.2675), Y at (0.0000, 0.0000, 0.5000) and Tl at (0.0000, 0.0000, 0.3858).

As for the density: 7.2 g cm⁻³.

Computed energies relative to the best structure, in meV per atom: <a> 53; <b> 0

<a>
An optimized crystal structure of Nd4YTl3. Source: the Alexandria database, functional PBE.

It has space group Immm (No. 71), with a = 4.9785 Å, b = 4.9895 Å, c = 19.4205 Å, α = 90.00°, β = 90.00° and γ = 90.00°. The distinct sites, in fractional coordinates, are Nd at (0.0000, 0.0000, 0.1297), Nd at (0.0000, 0.0000, 0.3676), Y at (0.0000, 0.5000, 0.0000), Tl at (0.0000, 0.5000, 0.2523) and Tl at (0.0000, 0.5000, 0.5000).

As for the density: 8.8 g cm⁻³.

<b>
An optimized crystal structure of Nd4YTl3. Source: the Alexandria database, functional PBE.

It has space group Pmma (No. 51), with a = 11.4766 Å, b = 6.9989 Å, c = 6.0248 Å, α = 90.00°, β = 90.00° and γ = 90.00°. The distinct sites, in fractional coordinates, are Nd at (0.0000, 0.2478, 0.0000), Nd at (0.2500, 0.2414, 0.3799), Y at (0.0000, 0.5000, 0.5000), Tl at (0.0000, 0.0000, 0.5000), Tl at (0.2500, 0.0000, 0.8700) and Tl at (0.2500, 0.5000, 0.8600).

As for the density: 8.8 g cm⁻³.

Computed energies relative to the best structure, in meV per atom: <a> 0; <b> 25

<a>
An optimized crystal structure of NdYTlZn. Source: the Alexandria database, functional PBE.

It has space group P4mm (No. 99), with a = 3.7218 Å, b = 3.7218 Å, c = 7.5918 Å, α = 90.00°, β = 90.00° and γ = 90.00°. The distinct sites, in fractional coordinates, are Nd at (0.0000, 0.0000, 0.0000), Y at (0.0000, 0.0000, 0.5426), Tl at (0.5000, 0.5000, 0.2827) and Zn at (0.5000, 0.5000, 0.7561).

As for the density: 7.9 g cm⁻³.

<b>
An optimized crystal structure of NdYTlZn. Source: the Alexandria database, functional PBE.

It has space group F-43m (No. 216), with a = 7.5251 Å, b = 7.5251 Å, c = 7.5251 Å, α = 90.00°, β = 90.00° and γ = 90.00°. The distinct sites, in fractional coordinates, are Nd at (0.0000, 0.0000, 0.0000), Y at (0.0000, 0.0000, 0.5000), Tl at (0.2500, 0.2500, 0.2500) and Zn at (0.2500, 0.2500, 0.7500).

As for the density: 7.8 g cm⁻³.

Computed energies relative to the best structure, in meV per atom: <a> 0; <b> 23

<a>
An optimized crystal structure of Nd8Tl2Zn. Source: the Alexandria database, functional PBE.

It has space group C2/m (No. 12), with a = 19.5084 Å, b = 5.3372 Å, c = 6.9362 Å, α = 90.00°, β = 106.05° and γ = 90.00°. The distinct sites, in fractional coordinates, are Nd at (0.0122, 0.0000, 0.2756), Nd at (0.0913, 0.5000, 0.9666), Nd at (0.1539, 0.5000, 0.4870), Nd at (0.2073, 0.0000, 0.8111), Tl at (0.1784, 0.0000, 0.2473) and Zn at (0.0000, 0.5000, 0.5000).

As for the density: 7.8 g cm⁻³.

<b>
An optimized crystal structure of Nd8Tl2Zn. Source: the Alexandria database, functional PBE.

It has space group C2/m (No. 12), with a = 18.6082 Å, b = 5.4511 Å, c = 6.8719 Å, α = 90.00°, β = 92.70° and γ = 90.00°. The distinct sites, in fractional coordinates, are Nd at (0.0289, 0.0000, 0.2683), Nd at (0.0896, 0.5000, 0.9078), Nd at (0.1644, 0.5000, 0.4084), Nd at (0.2103, 0.0000, 0.1037), Tl at (0.1574, 0.0000, 0.6529) and Zn at (0.0000, 0.5000, 0.5000).

As for the density: 7.8 g cm⁻³.

Computed energies relative to the best structure, in meV per atom: <a> 22; <b> 0

<a>
An optimized crystal structure of Nd4TlZn. Source: the Alexandria database, functional PBE.

It has space group P4/mmm (No. 123), with a = 3.7380 Å, b = 3.7380 Å, c = 13.0781 Å, α = 90.00°, β = 90.00° and γ = 90.00°. The distinct sites, in fractional coordinates, are Nd at (0.0000, 0.0000, 0.1385), Nd at (0.5000, 0.5000, 0.3370), Tl at (0.0000, 0.0000, 0.5000) and Zn at (0.5000, 0.5000, 0.0000).

As for the density: 7.7 g cm⁻³.

<b>
An optimized crystal structure of Nd4TlZn. Source: the Alexandria database, functional PBE.

It has space group P4/mmm (No. 123), with a = 5.1925 Å, b = 5.1925 Å, c = 7.4632 Å, α = 90.00°, β = 90.00° and γ = 90.00°. The distinct sites, in fractional coordinates, are Nd at (0.0000, 0.5000, 0.2326), Tl at (0.0000, 0.0000, 0.5000) and Zn at (0.5000, 0.5000, 0.0000).

As for the density: 7.0 g cm⁻³.

Computed energies relative to the best structure, in meV per atom: <a> 0; <b> 195

<a>
An optimized crystal structure of Nd5Tl2Zn. Source: the Alexandria database, functional PBE.

It has space group Pbam (No. 55), with a = 6.9039 Å, b = 13.3410 Å, c = 5.2171 Å, α = 90.00°, β = 90.00° and γ = 90.00°. The distinct sites, in fractional coordinates, are Nd at (0.0000, 0.0000, 0.0000), Nd at (0.1135, 0.2791, 0.0000), Nd at (0.1713, 0.5957, 0.5000), Tl at (0.1378, 0.8515, 0.5000) and Zn at (0.0000, 0.5000, 0.0000).

As for the density: 8.3 g cm⁻³.

<b>
An optimized crystal structure of Nd5Tl2Zn. Source: the Alexandria database, functional PBE.

It has space group Cmcm (No. 63), with a = 5.8576 Å, b = 13.1319 Å, c = 13.2173 Å, α = 90.00°, β = 90.00° and γ = 90.00°. The distinct sites, in fractional coordinates, are Nd at (0.0000, 0.0597, 0.1099), Nd at (0.0000, 0.3774, 0.0490), Nd at (0.0000, 0.4086, 0.7500), Tl at (0.0000, 0.1981, 0.6274) and Zn at (0.0000, 0.2479, 0.2500).

As for the density: 7.8 g cm⁻³.

Computed energies relative to the best structure, in meV per atom: <a> 0; <b> 232